No. 1
# SrCoAs, relaxed, DFT GGA-PBE
data_SrCoAs
_chemical_formula_sum 'Sr1 Co1 As1'
_cell_length_a 4.550
_cell_length_b 4.550
_cell_length_c 4.550
_cell_angle_alpha 60.00
_cell_angle_beta 60.00
_cell_angle_gamma 60.00
_space_group_name_H-M_alt 'P 1'
_space_group_IT_number 1
loop_
_space_group_symop_operation_xyz
'x,y,z'
loop_
_atom_site_label
_atom_site_type_symbol
_atom_site_fract_x
_atom_site_fract_y
_atom_site_fract_z
Sr1 Sr 0.000 0.000 0.000
Co1 Co 0.750 0.750 0.750
As1 As 0.500 0.500 0.500
# * space-group type: No. 216
# * ΔH_f (0 K): -8 kJ per mole of atoms

No. 2
# Sr4CoAs, relaxed, DFT GGA-PBE
data_Sr4CoAs
_chemical_formula_sum 'Sr4 Co1 As1'
_cell_length_a 6.745
_cell_length_b 6.745
_cell_length_c 6.745
_cell_angle_alpha 60.00
_cell_angle_beta 60.00
_cell_angle_gamma 60.00
_space_group_name_H-M_alt 'P 1'
_space_group_IT_number 1
loop_
_space_group_symop_operation_xyz
'x,y,z'
loop_
_atom_site_label
_atom_site_type_symbol
_atom_site_fract_x
_atom_site_fract_y
_atom_site_fract_z
Sr1 Sr 0.125 0.125 0.125
Sr2 Sr 0.125 0.125 0.626
Sr3 Sr 0.125 0.626 0.125
Sr4 Sr 0.626 0.125 0.125
Co1 Co 0.500 0.500 0.500
As1 As 0.750 0.750 0.750
# * space-group type: No. 216
# * ΔH_f (0 K): 78 kJ per mole of atoms

No. 3
# SrCo3As, relaxed, DFT GGA-PBE
data_SrCo3As
_chemical_formula_sum 'Sr1 Co3 As1'
_cell_length_a 4.713
_cell_length_b 4.713
_cell_length_c 4.713
_cell_angle_alpha 90.00
_cell_angle_beta 90.00
_cell_angle_gamma 90.00
_space_group_name_H-M_alt 'P 1'
_space_group_IT_number 1
loop_
_space_group_symop_operation_xyz
'x,y,z'
loop_
_atom_site_label
_atom_site_type_symbol
_atom_site_fract_x
_atom_site_fract_y
_atom_site_fract_z
Sr1 Sr 0.000 0.000 0.000
Co1 Co 0.000 0.000 0.500
Co2 Co 0.000 0.500 0.000
Co3 Co 0.500 0.000 0.000
As1 As 0.500 0.500 0.500
# * space-group type: No. 221
# * distance to the lowest polymorph of the same formula: 1.9004 eV/atom
# * ΔH_f (0 K): 208 kJ per mole of atoms

No. 4
# SrCoAs2, relaxed, DFT GGA-PBE
data_SrCoAs2
_chemical_formula_sum 'Sr1 Co1 As2'
_cell_length_a 4.470
_cell_length_b 4.470
_cell_length_c 4.163
_cell_angle_alpha 90.15
_cell_angle_beta 90.15
_cell_angle_gamma 89.27
_space_group_name_H-M_alt 'P 1'
_space_group_IT_number 1
loop_
_space_group_symop_operation_xyz
'x,y,z'
loop_
_atom_site_label
_atom_site_type_symbol
_atom_site_fract_x
_atom_site_fract_y
_atom_site_fract_z
Sr1 Sr 0.000 0.000 0.000
Co1 Co 0.500 0.500 0.000
As1 As 0.000 0.500 0.500
As2 As 0.500 0.000 0.500
# * space-group type: No. 12
# * ΔH_f (0 K): 6 kJ per mole of atoms

No. 5
# SrCoAs2, relaxed, DFT GGA-PBE
data_SrCoAs2
_chemical_formula_sum 'Sr1 Co1 As2'
_cell_length_a 5.588
_cell_length_b 5.588
_cell_length_c 5.588
_cell_angle_alpha 135.90
_cell_angle_beta 135.90
_cell_angle_gamma 64.14
_space_group_name_H-M_alt 'P 1'
_space_group_IT_number 1
loop_
_space_group_symop_operation_xyz
'x,y,z'
loop_
_atom_site_label
_atom_site_type_symbol
_atom_site_fract_x
_atom_site_fract_y
_atom_site_fract_z
Sr1 Sr 0.000 0.000 0.000
Co1 Co 0.750 0.250 0.500
As1 As 0.250 0.750 0.500
As2 As 0.500 0.500 0.000
# * space-group type: No. 119
# * ΔH_f (0 K): 12 kJ per mole of atoms

No. 6
# SrCoAs2, relaxed, DFT GGA-PBE
data_SrCoAs2
_chemical_formula_sum 'Sr1 Co1 As2'
_cell_length_a 4.826
_cell_length_b 4.826
_cell_length_c 4.826
_cell_angle_alpha 60.00
_cell_angle_beta 60.00
_cell_angle_gamma 60.00
_space_group_name_H-M_alt 'P 1'
_space_group_IT_number 1
loop_
_space_group_symop_operation_xyz
'x,y,z'
loop_
_atom_site_label
_atom_site_type_symbol
_atom_site_fract_x
_atom_site_fract_y
_atom_site_fract_z
Sr1 Sr 0.000 0.000 0.000
Co1 Co 0.500 0.500 0.500
As1 As 0.250 0.250 0.250
As2 As 0.750 0.750 0.750
# * space-group type: No. 225
# * ΔH_f (0 K): 5 kJ per mole of atoms

No. 7
# SrCoAs2, relaxed, DFT GGA-PBE
data_SrCoAs2
_chemical_formula_sum 'Sr1 Co1 As2'
_cell_length_a 4.880
_cell_length_b 4.880
_cell_length_c 4.880
_cell_angle_alpha 60.00
_cell_angle_beta 60.00
_cell_angle_gamma 60.00
_space_group_name_H-M_alt 'P 1'
_space_group_IT_number 1
loop_
_space_group_symop_operation_xyz
'x,y,z'
loop_
_atom_site_label
_atom_site_type_symbol
_atom_site_fract_x
_atom_site_fract_y
_atom_site_fract_z
Sr1 Sr 0.000 0.000 0.000
Co1 Co 0.750 0.750 0.750
As1 As 0.250 0.250 0.250
As2 As 0.500 0.500 0.500
# * space-group type: No. 216
# * ΔH_f (0 K): 23 kJ per mole of atoms

No. 8
# SrCo5As3, relaxed, DFT GGA-PBE
data_SrCo5As3
_chemical_formula_sum 'Sr2 Co10 As6'
_cell_length_a 6.313
_cell_length_b 6.313
_cell_length_c 11.829
_cell_angle_alpha 90.00
_cell_angle_beta 90.00
_cell_angle_gamma 145.38
_space_group_name_H-M_alt 'P 1'
_space_group_IT_number 1
loop_
_space_group_symop_operation_xyz
'x,y,z'
loop_
_atom_site_label
_atom_site_type_symbol
_atom_site_fract_x
_atom_site_fract_y
_atom_site_fract_z
Sr1 Sr 0.167 0.833 0.750
Sr2 Sr 0.833 0.167 0.250
Co1 Co 0.000 0.000 0.000
Co2 Co 0.000 0.000 0.500
Co3 Co 0.193 0.807 0.065
Co4 Co 0.193 0.807 0.435
Co5 Co 0.446 0.554 0.641
Co6 Co 0.446 0.554 0.859
Co7 Co 0.554 0.446 0.141
Co8 Co 0.554 0.446 0.359
Co9 Co 0.807 0.193 0.565
Co10 Co 0.807 0.193 0.935
As1 As 0.105 0.895 0.250
As2 As 0.380 0.620 0.042
As3 As 0.380 0.620 0.458
As4 As 0.620 0.380 0.542
As5 As 0.620 0.380 0.958
As6 As 0.895 0.105 0.750
# * space-group type: No. 63
# * ΔH_f (0 K): -38 kJ per mole of atoms

No. 9
# SrCoAs2, relaxed, DFT GGA-PBE
data_SrCoAs2
_chemical_formula_sum 'Sr1 Co1 As2'
_cell_length_a 4.516
_cell_length_b 4.532
_cell_length_c 4.673
_cell_angle_alpha 90.00
_cell_angle_beta 90.01
_cell_angle_gamma 90.00
_space_group_name_H-M_alt 'P 1'
_space_group_IT_number 1
loop_
_space_group_symop_operation_xyz
'x,y,z'
loop_
_atom_site_label
_atom_site_type_symbol
_atom_site_fract_x
_atom_site_fract_y
_atom_site_fract_z
Sr1 Sr 0.000 0.000 0.000
Co1 Co 0.672 0.500 0.505
As1 As 0.161 0.500 0.501
As2 As 0.508 0.000 0.498
# * space-group type: No. 6
# * ΔH_f (0 K): -39 kJ per mole of atoms

No. 10
# SrCoAs2, relaxed, DFT GGA-PBE
data_SrCoAs2
_chemical_formula_sum 'Sr1 Co1 As2'
_cell_length_a 3.661
_cell_length_b 3.661
_cell_length_c 6.932
_cell_angle_alpha 90.00
_cell_angle_beta 90.00
_cell_angle_gamma 111.49
_space_group_name_H-M_alt 'P 1'
_space_group_IT_number 1
loop_
_space_group_symop_operation_xyz
'x,y,z'
loop_
_atom_site_label
_atom_site_type_symbol
_atom_site_fract_x
_atom_site_fract_y
_atom_site_fract_z
Sr1 Sr 0.000 0.000 0.000
Co1 Co 0.000 0.000 0.500
As1 As 0.500 0.500 0.316
As2 As 0.500 0.500 0.684
# * space-group type: No. 65
# * ΔH_f (0 K): -16 kJ per mole of atoms

No. 11
# SrCoAs2, relaxed, DFT GGA-PBE
data_SrCoAs2
_chemical_formula_sum 'Sr1 Co1 As2'
_cell_length_a 3.413
_cell_length_b 3.413
_cell_length_c 7.031
_cell_angle_alpha 90.00
_cell_angle_beta 90.00
_cell_angle_gamma 90.00
_space_group_name_H-M_alt 'P 1'
_space_group_IT_number 1
loop_
_space_group_symop_operation_xyz
'x,y,z'
loop_
_atom_site_label
_atom_site_type_symbol
_atom_site_fract_x
_atom_site_fract_y
_atom_site_fract_z
Sr1 Sr 0.000 0.000 0.000
Co1 Co 0.500 0.500 0.627
As1 As 0.000 0.000 0.559
As2 As 0.500 0.500 0.291
# * space-group type: No. 99
# * ΔH_f (0 K): -9 kJ per mole of atoms

No. 12
# SrCoAs4, relaxed, DFT GGA-PBE
data_SrCoAs4
_chemical_formula_sum 'Sr1 Co1 As4'
_cell_length_a 5.665
_cell_length_b 5.665
_cell_length_c 5.665
_cell_angle_alpha 60.00
_cell_angle_beta 60.00
_cell_angle_gamma 60.00
_space_group_name_H-M_alt 'P 1'
_space_group_IT_number 1
loop_
_space_group_symop_operation_xyz
'x,y,z'
loop_
_atom_site_label
_atom_site_type_symbol
_atom_site_fract_x
_atom_site_fract_y
_atom_site_fract_z
Sr1 Sr 0.000 0.000 0.000
Co1 Co 0.250 0.250 0.250
As1 As 0.133 0.622 0.622
As2 As 0.622 0.133 0.622
As3 As 0.622 0.622 0.133
As4 As 0.622 0.622 0.622
# * space-group type: No. 216
# * ΔH_f (0 K): 19 kJ per mole of atoms